Record 1
The following is a PBE calculation of a relaxed MgB2Cl8 crystal, from Alexandria.

Lattice parameters (Å, degrees): 9.5266 9.5266 10.6319 120.63 120.63 55.38
With the nearest neighbours (Å) after each atom.
Fractional coordinates of all 22 atoms:
Mg  0.0204  0.9796  0.7500  6 Cl 2.50-2.56
Mg  0.9796  0.0204  0.2500  6 Cl 2.50-2.56
B  0.1391  0.6885  0.4581  4 Cl 1.79-1.90
B  0.3115  0.8609  0.0419  4 Cl 1.79-1.90
B  0.6885  0.1391  0.9581  4 Cl 1.79-1.90
B  0.8609  0.3115  0.5419  4 Cl 1.79-1.90
Cl  0.0873  0.2088  0.5157  1 B 1.90
Cl  0.0995  0.7150  0.2757  1 B 1.90
Cl  0.1750  0.7360  0.8710  1 B 1.89
Cl  0.2088  0.0873  0.0156  1 B 1.90
Cl  0.2571  0.4555  0.4429  1 B 1.79
Cl  0.2640  0.8250  0.6290  1 B 1.89
Cl  0.2850  0.9005  0.2243  1 B 1.90
Cl  0.4555  0.2571  0.9429  1 B 1.79
Cl  0.5445  0.7429  0.0571  1 B 1.79
Cl  0.7150  0.0995  0.7757  1 B 1.90
Cl  0.7360  0.1750  0.3710  1 B 1.89
Cl  0.7429  0.5445  0.5571  1 B 1.79
Cl  0.7912  0.9127  0.9844  1 B 1.90
Cl  0.8250  0.2640  0.1290  1 B 1.89
Cl  0.9005  0.2850  0.7243  1 B 1.90
Cl  0.9127  0.7912  0.4844  1 B 1.90

Properties
* N(E_F): 0.0 states/eV per cell
* space-group type: C2/c (15)

Record 2
The following is a PBE calculation of a relaxed Mg2B2Cl crystal, from Alexandria.

Lattice parameters (Å, degrees): 4.7486 4.7486 3.2100 90.00 90.00 90.00
With the nearest neighbours (Å) after each atom.
Fractional coordinates of all 5 atoms:
Mg  0.0000  0.5000  0.0000  2 B 2.37
Mg  0.5000  0.0000  0.0000  2 B 2.37
B  0.0000  0.0000  0.0000  2 B 1.61
B  0.0000  0.0000  0.5000  2 B 1.61
Cl  0.5000  0.5000  0.5000  8 Mg 2.87

Properties
* N(E_F): 1.3 states/eV per cell
* space-group type: P4/mmm (123)

Record 3
The following is a PBE calculation of a relaxed MgB2NCl crystal, from Alexandria.

Lattice parameters (Å, degrees): 4.6722 4.6722 4.9005 90.00 90.00 90.00
With the nearest neighbours (Å) after each atom.
Fractional coordinates of all 5 atoms:
Mg  0.0000  0.0000  0.0000  4 B 2.34, 2 Cl 2.45
B  0.0000  0.5000  0.0000  2 Mg 2.34
B  0.5000  0.0000  0.0000  2 Mg 2.34
N  0.5000  0.5000  0.5000  4 Cl 3.30, 8 B 3.39
Cl  0.0000  0.0000  0.5000  2 Mg 2.45

Properties
* N(E_F): 2.2 states/eV per cell
* space-group type: P4/mmm (123)

Record 4
The following is a PBE calculation of a relaxed Mg3B7ClO13 crystal, from Alexandria.

Lattice parameters (Å, degrees): 8.6411 8.6311 12.2233 90.00 90.00 90.00
With the nearest neighbours (Å) after each atom.
Fractional coordinates of all 96 atoms:
Mg  0.0162  0.0313  0.0000  4 O 2.03-2.10
Mg  0.0157  0.4682  0.9972  4 O 2.05-2.10
Mg  0.2411  0.2487  0.2757  4 O 2.04-2.10
Mg  0.2589  0.2487  0.7757  4 O 2.04-2.10
Mg  0.4838  0.0313  0.5000  4 O 2.03-2.10
Mg  0.4843  0.4682  0.4972  4 O 2.05-2.10
Mg  0.5157  0.5318  0.9972  4 O 2.05-2.10
Mg  0.5162  0.9687  0.0000  4 O 2.03-2.10
Mg  0.7411  0.7513  0.2757  4 O 2.04-2.10
Mg  0.7589  0.7513  0.7757  4 O 2.04-2.10
Mg  0.9843  0.5318  0.4972  4 O 2.05-2.10
Mg  0.9838  0.9687  0.5000  4 O 2.03-2.10
B  0.0019  0.4975  0.7499  4 O 1.47-1.51
B  0.0025  0.0038  0.7508  4 O 1.47-1.51
B  0.0429  0.7492  0.1485  3 O 1.38
B  0.0939  0.7501  0.6783  4 O 1.45-1.57
B  0.2432  0.7470  0.0032  4 O 1.47-1.51
B  0.2468  0.5963  0.8305  4 O 1.45-1.58
B  0.2468  0.9033  0.8313  4 O 1.46-1.57
B  0.2532  0.5963  0.3305  4 O 1.45-1.58
B  0.2532  0.9033  0.3313  4 O 1.46-1.57
B  0.2568  0.7470  0.5032  4 O 1.47-1.51
B  0.4061  0.7501  0.1783  4 O 1.45-1.57
B  0.4571  0.7492  0.6485  3 O 1.38
B  0.4975  0.0038  0.2508  4 O 1.47-1.51
B  0.4981  0.4975  0.2499  4 O 1.47-1.51
B  0.5019  0.5025  0.7499  4 O 1.47-1.51
B  0.5025  0.9962  0.7508  4 O 1.47-1.51
B  0.5429  0.2508  0.1485  3 O 1.38
B  0.5939  0.2499  0.6783  4 O 1.45-1.57
B  0.7432  0.2530  0.0032  4 O 1.47-1.51
B  0.7468  0.0967  0.8313  4 O 1.46-1.57
B  0.7468  0.4037  0.8305  4 O 1.45-1.58
B  0.7532  0.0967  0.3313  4 O 1.46-1.57
B  0.7532  0.4037  0.3305  4 O 1.45-1.58
B  0.7568  0.2530  0.5032  4 O 1.47-1.51
B  0.9061  0.2499  0.1783  4 O 1.45-1.57
B  0.9571  0.2508  0.6485  3 O 1.38
B  0.9975  0.9962  0.2508  4 O 1.47-1.51
B  0.9981  0.5025  0.2499  4 O 1.47-1.51
Cl  0.2212  0.2498  0.9870  3 Mg 2.59-2.60
Cl  0.2788  0.2498  0.4870  3 Mg 2.59-2.60
Cl  0.7212  0.7502  0.9870  3 Mg 2.59-2.60
Cl  0.7788  0.7502  0.4870  3 Mg 2.59-2.60
O  0.0336  0.3381  0.2282  2 B 1.47-1.48
O  0.0351  0.5895  0.1456  2 B 1.38-1.51
O  0.0440  0.1700  0.7243  2 B 1.38-1.51
O  0.0477  0.9089  0.6564  2 B 1.45-1.47
O  0.0895  0.5571  0.3446  2 B 1.46-1.48
O  0.0901  0.9626  0.8496  2 B 1.47
O  0.1150  0.8286  0.0645  2 B 1.38-1.51
O  0.1406  0.6765  0.5759  2 B 1.46-1.47
O  0.1633  0.0185  0.2716  2 B 1.46-1.47
O  0.1669  0.4726  0.7730  2 B 1.45-1.47
O  0.1738  0.6238  0.9367  2 B 1.46-1.47
O  0.1789  0.8650  0.4351  2 B 1.46-1.48
O  0.2306  0.7504  0.7624  3 B 1.57-1.58
O  0.2694  0.7504  0.2624  3 B 1.57-1.58
O  0.3211  0.8650  0.9351  2 B 1.46-1.48
O  0.3262  0.6238  0.4367  2 B 1.46-1.47
O  0.3331  0.4726  0.2730  2 B 1.45-1.47
O  0.3367  0.0185  0.7716  2 B 1.46-1.47
O  0.3594  0.6765  0.0759  2 B 1.46-1.47
O  0.3850  0.8286  0.5645  2 B 1.38-1.51
O  0.4099  0.9626  0.3496  2 B 1.47
O  0.4105  0.5571  0.8446  2 B 1.46-1.48
O  0.4523  0.9089  0.1564  2 B 1.45-1.47
O  0.4560  0.1700  0.2243  2 B 1.38-1.51
O  0.4649  0.5895  0.6456  2 B 1.38-1.51
O  0.4664  0.3381  0.7282  2 B 1.47-1.48
O  0.5336  0.6619  0.2282  2 B 1.47-1.48
O  0.5351  0.4105  0.1456  2 B 1.38-1.51
O  0.5440  0.8300  0.7243  2 B 1.38-1.51
O  0.5477  0.0911  0.6564  2 B 1.45-1.47
O  0.5895  0.4429  0.3446  2 B 1.46-1.48
O  0.5901  0.0374  0.8496  2 B 1.47
O  0.6150  0.1714  0.0645  2 B 1.38-1.51
O  0.6406  0.3235  0.5759  2 B 1.46-1.47
O  0.6633  0.9815  0.2716  2 B 1.46-1.47
O  0.6669  0.5274  0.7730  2 B 1.45-1.47
O  0.6738  0.3762  0.9367  2 B 1.46-1.47
O  0.6789  0.1350  0.4351  2 B 1.46-1.48
O  0.7306  0.2496  0.7624  3 B 1.57-1.58
O  0.7694  0.2496  0.2624  3 B 1.57-1.58
O  0.8211  0.1350  0.9351  2 B 1.46-1.48
O  0.8262  0.3762  0.4367  2 B 1.46-1.47
O  0.8331  0.5274  0.2730  2 B 1.45-1.47
O  0.8367  0.9815  0.7716  2 B 1.46-1.47
O  0.8594  0.3235  0.0759  2 B 1.46-1.47
O  0.8850  0.1714  0.5645  2 B 1.38-1.51
O  0.9099  0.0374  0.3496  2 B 1.47
O  0.9105  0.4429  0.8446  2 B 1.46-1.48
O  0.9523  0.0911  0.1564  2 B 1.45-1.47
O  0.9560  0.8300  0.2243  2 B 1.38-1.51
O  0.9649  0.4105  0.6456  2 B 1.38-1.51
O  0.9664  0.6619  0.7282  2 B 1.47-1.48

Properties
* N(E_F): 0.0 states/eV per cell
* polymorph energy (0 for the lowest one): 0.000 eV per atom
* space-group type: Pca2_1 (29)

Record 5
The following is a PBE calculation of a relaxed Mg3B7ClO13 crystal, from Alexandria.

Lattice parameters (Å, degrees): 8.6061 8.6061 8.6061 60.00 60.00 60.00
With the nearest neighbours (Å) after each atom.
Fractional coordinates of all 48 atoms:
Mg  0.2500  0.2500  0.7500  4 O 2.05
Mg  0.2500  0.7500  0.2500  4 O 2.05
Mg  0.2500  0.7500  0.7500  4 O 2.05
Mg  0.7500  0.2500  0.2500  4 O 2.05
Mg  0.7500  0.2500  0.7500  4 O 2.05
Mg  0.7500  0.7500  0.2500  4 O 2.05
B  0.0000  0.0000  0.5000  4 O 1.48
B  0.0000  0.5000  0.0000  4 O 1.48
B  0.0000  0.5000  0.5000  4 O 1.48
B  0.1694  0.1694  0.1694  3 O 1.44
B  0.1694  0.1694  0.4919  3 O 1.44
B  0.1694  0.4919  0.1694  3 O 1.44
B  0.4919  0.1694  0.1694  3 O 1.44
B  0.5000  0.0000  0.0000  4 O 1.48
B  0.5000  0.0000  0.5000  4 O 1.48
B  0.5000  0.5000  0.0000  4 O 1.48
B  0.6694  0.6694  0.6694  3 O 1.44
B  0.6694  0.6694  0.9919  3 O 1.44
B  0.6694  0.9919  0.6694  3 O 1.44
B  0.9919  0.6694  0.6694  3 O 1.44
Cl  0.0000  0.0000  0.0000  6 Mg 3.04
Cl  0.5000  0.5000  0.5000  6 Mg 3.04
O  0.0495  0.4919  0.8127  2 B 1.44-1.48
O  0.0495  0.6459  0.4919  2 B 1.44-1.48
O  0.0495  0.8127  0.6459  2 B 1.44-1.48
O  0.1459  0.3127  0.5495  2 B 1.44-1.48
O  0.1459  0.5495  0.9919  2 B 1.44-1.48
O  0.1459  0.9919  0.3127  2 B 1.44-1.48
O  0.2500  0.2500  0.2500  4 B 1.70
O  0.3127  0.1459  0.9919  2 B 1.44-1.48
O  0.3127  0.5495  0.1459  2 B 1.44-1.48
O  0.3127  0.9919  0.5495  2 B 1.44-1.48
O  0.4919  0.0495  0.6459  2 B 1.44-1.48
O  0.4919  0.6459  0.8127  2 B 1.44-1.48
O  0.4919  0.8127  0.0495  2 B 1.44-1.48
O  0.5495  0.1459  0.3127  2 B 1.44-1.48
O  0.5495  0.3127  0.9919  2 B 1.44-1.48
O  0.5495  0.9919  0.1459  2 B 1.44-1.48
O  0.6459  0.0495  0.8127  2 B 1.44-1.48
O  0.6459  0.4919  0.0495  2 B 1.44-1.48
O  0.6459  0.8127  0.4919  2 B 1.44-1.48
O  0.7500  0.7500  0.7500  4 B 1.70
O  0.8127  0.0495  0.4919  2 B 1.44-1.48
O  0.8127  0.4919  0.6459  2 B 1.44-1.48
O  0.8127  0.6459  0.0495  2 B 1.44-1.48
O  0.9919  0.1459  0.5495  2 B 1.44-1.48
O  0.9919  0.3127  0.1459  2 B 1.44-1.48
O  0.9919  0.5495  0.3127  2 B 1.44-1.48

Properties
* N(E_F): 0.0 states/eV per cell
* polymorph energy (0 for the lowest one): 0.010 eV per atom
* space-group type: F-43c (219)

Record 6
The following is a PBE calculation of a relaxed MgBP2Cl crystal, from Alexandria.

Lattice parameters (Å, degrees): 4.9012 4.9012 4.8507 90.00 90.00 90.00
With the nearest neighbours (Å) after each atom.
Fractional coordinates of all 5 atoms:
Mg  0.0000  0.0000  0.0000  2 Cl 2.43, 4 P 2.45
B  0.5000  0.5000  0.5000  8 P 3.45, 4 Cl 3.47
P  0.0000  0.5000  0.0000  2 Mg 2.45
P  0.5000  0.0000  0.0000  2 Mg 2.45
Cl  0.0000  0.0000  0.5000  2 Mg 2.43

Properties
* N(E_F): 3.7 states/eV per cell
* polymorph energy (0 for the lowest one): 1.018 eV per atom
* space-group type: P4/mmm (123)

Record 7
The following is a PBE calculation of a relaxed MgBP2Cl crystal, from Alexandria.

Lattice parameters (Å, degrees): 3.8755 3.8755 6.1287 90.00 90.00 90.00
With the nearest neighbours (Å) after each atom.
Fractional coordinates of all 5 atoms:
Mg  0.0000  0.0000  0.0000  4 Cl 2.74
B  0.5000  0.5000  0.5000  4 P 1.94
P  0.0000  0.5000  0.5000  2 B 1.94
P  0.5000  0.0000  0.5000  2 B 1.94
Cl  0.5000  0.5000  0.0000  4 Mg 2.74, 2 B 3.06

Properties
* N(E_F): 2.1 states/eV per cell
* polymorph energy (0 for the lowest one): 0.000 eV per atom
* space-group type: P4/mmm (123)

Record 8
The following is a PBE calculation of a relaxed MgBPCl2 crystal, from Alexandria.

Lattice parameters (Å, degrees): 4.3872 4.3872 4.4516 90.00 90.00 90.00
With the nearest neighbours (Å) after each atom.
Fractional coordinates of all 5 atoms:
Mg  0.0000  0.0000  0.0000  4 P 3.10, 8 Cl 3.13
B  0.5000  0.5000  0.5000  4 Cl 2.19, 2 P 2.23
P  0.5000  0.5000  0.0000  2 B 2.23
Cl  0.0000  0.5000  0.5000  2 B 2.19
Cl  0.5000  0.0000  0.5000  2 B 2.19

Properties
* N(E_F): 3.9 states/eV per cell
* polymorph energy (0 for the lowest one): 0.000 eV per atom
* space-group type: P4/mmm (123)

Record 9
The following is a PBE calculation of a relaxed MgBPCl2 crystal, from Alexandria.

Lattice parameters (Å, degrees): 4.8008 4.8008 5.3365 90.00 90.00 90.00
With the nearest neighbours (Å) after each atom.
Fractional coordinates of all 5 atoms:
Mg  0.0000  0.0000  0.0000  4 Cl 2.40, 2 P 2.67
B  0.5000  0.5000  0.5000  4 P 3.39, 8 Cl 3.59
P  0.0000  0.0000  0.5000  2 Mg 2.67
Cl  0.0000  0.5000  0.0000  2 Mg 2.40
Cl  0.5000  0.0000  0.0000  2 Mg 2.40

Properties
* N(E_F): 3.4 states/eV per cell
* polymorph energy (0 for the lowest one): 0.369 eV per atom
* space-group type: P4/mmm (123)

Record 10
The following is a PBE calculation of a relaxed MgBSCl2 crystal, from Alexandria.

Lattice parameters (Å, degrees): 4.8465 4.8465 5.0243 90.00 90.00 90.00
With the nearest neighbours (Å) after each atom.
Fractional coordinates of all 5 atoms:
Mg  0.0000  0.0000  0.0000  4 Cl 2.42, 2 S 2.51
B  0.5000  0.5000  0.5000  4 S 3.43, 8 Cl 3.49
S  0.0000  0.0000  0.5000  2 Mg 2.51
Cl  0.0000  0.5000  0.0000  2 Mg 2.42
Cl  0.5000  0.0000  0.0000  2 Mg 2.42

Properties
* N(E_F): 2.7 states/eV per cell
* polymorph energy (0 for the lowest one): 0.363 eV per atom
* space-group type: P4/mmm (123)

| no. | formation energy (no corrections) (kcal/mol of atoms) |
| --- | --- |
| 1 | -26.514 |
| 2 | -6.305 |
| 3 | 53.515 |
| 4 | -58.032 |
| 5 | -57.795 |
| 6 | 31.084 |
| 7 | 7.603 |
| 8 | 6.807 |
| 9 | 15.314 |
| 10 | 7.406 |